1.
# Tm2Ag3SnS6 (GGA-PBE, optimized geometry)
# Size of the total moment   0.000 μB per formula unit
# Fermi-level density of states   0.091 states/eV per atom
# ΔE_f (raw)   -0.9279 eV/atom
data_Tm2Ag3SnS6
_chemical_formula_sum 'Tm2 Ag3 Sn1 S6'
_cell_length_a 3.890
_cell_length_b 7.473
_cell_length_c 9.327
_cell_angle_alpha 101.77
_cell_angle_beta 102.04
_cell_angle_gamma 90.00
_symmetry_space_group_name_H-M 'P 1'
_symmetry_Int_Tables_number 1
loop_
_symmetry_equiv_pos_as_xyz
'x,y,z'
loop_
_atom_site_label
_atom_site_fract_x
_atom_site_fract_y
_atom_site_fract_z
Tm1 0.832 0.663 0.665
Tm2 0.168 0.337 0.335
Ag1 0.500 0.500 0.000
Ag2 0.807 0.148 0.613
Ag3 0.193 0.852 0.387
Sn1 0.500 0.000 0.000
S1 0.345 0.922 0.691
S2 0.679 0.591 0.358
S3 0.655 0.078 0.309
S4 0.013 0.267 0.025
S5 0.987 0.733 0.975
S6 0.321 0.409 0.642

=====

2.
# Tm3Ag3SnS8 (GGA-PBE, optimized geometry)
# Size of the total moment   0.000 μB per formula unit
# Fermi-level density of states   0.040 states/eV per atom
# ΔE_f (raw)   -1.0891 eV/atom
data_Tm3Ag3SnS8
_chemical_formula_sum 'Tm3 Ag3 Sn1 S8'
_cell_length_a 7.815
_cell_length_b 7.812
_cell_length_c 7.809
_cell_angle_alpha 120.21
_cell_angle_beta 90.00
_cell_angle_gamma 120.01
_symmetry_space_group_name_H-M 'P 1'
_symmetry_Int_Tables_number 1
loop_
_symmetry_equiv_pos_as_xyz
'x,y,z'
loop_
_atom_site_label
_atom_site_fract_x
_atom_site_fract_y
_atom_site_fract_z
Tm1 0.500 0.000 0.500
Tm2 0.500 0.500 0.500
Tm3 0.000 0.500 0.500
Ag1 0.000 0.000 0.000
Ag2 0.000 0.500 0.000
Ag3 0.500 0.500 0.000
Sn1 0.000 0.000 0.500
S1 0.256 0.513 0.271
S2 0.744 0.487 0.729
S3 0.763 0.527 0.268
S4 0.237 0.473 0.732
S5 0.763 0.004 0.268
S6 0.237 0.996 0.732
S7 0.240 0.004 0.268
S8 0.760 0.996 0.732

=====

3.
# TmAgSnS4 (GGA-PBE, optimized geometry)
# Size of the total moment   0.000 μB per formula unit
# Fermi-level density of states   0.084 states/eV per atom
# ΔE_f (raw)   -0.9134 eV/atom
data_TmAgSnS4
_chemical_formula_sum 'Tm2 Ag2 Sn2 S8'
_cell_length_a 7.752
_cell_length_b 7.798
_cell_length_c 7.798
_cell_angle_alpha 60.52
_cell_angle_beta 60.20
_cell_angle_gamma 60.20
_symmetry_space_group_name_H-M 'P 1'
_symmetry_Int_Tables_number 1
loop_
_symmetry_equiv_pos_as_xyz
'x,y,z'
loop_
_atom_site_label
_atom_site_fract_x
_atom_site_fract_y
_atom_site_fract_z
Tm1 0.000 0.000 0.000
Tm2 0.000 0.500 0.500
Ag1 0.620 0.630 0.130
Ag2 0.380 0.370 0.870
Sn1 0.500 0.000 0.500
Sn2 0.000 0.000 0.500
S1 0.752 0.770 0.726
S2 0.248 0.774 0.730
S3 0.752 0.226 0.270
S4 0.248 0.230 0.274
S5 0.221 0.765 0.265
S6 0.748 0.765 0.265
S7 0.252 0.235 0.735
S8 0.779 0.235 0.735

=====

4.
# TmAg3Sn3S8 (GGA-PBE, optimized geometry)
# Size of the total moment   0.000 μB per formula unit
# Fermi-level density of states   0.250 states/eV per atom
# ΔE_f (raw)   -0.5434 eV/atom
data_TmAg3Sn3S8
_chemical_formula_sum 'Tm1 Ag3 Sn3 S8'
_cell_length_a 7.733
_cell_length_b 7.733
_cell_length_c 7.712
_cell_angle_alpha 120.11
_cell_angle_beta 90.00
_cell_angle_gamma 120.00
_symmetry_space_group_name_H-M 'P 1'
_symmetry_Int_Tables_number 1
loop_
_symmetry_equiv_pos_as_xyz
'x,y,z'
loop_
_atom_site_label
_atom_site_fract_x
_atom_site_fract_y
_atom_site_fract_z
Tm1 0.000 0.000 0.500
Ag1 0.000 0.000 0.000
Ag2 0.000 0.500 0.000
Ag3 0.500 0.500 0.000
Sn1 0.500 0.000 0.500
Sn2 0.500 0.500 0.500
Sn3 0.000 0.500 0.500
S1 0.250 0.500 0.250
S2 0.750 0.500 0.750
S3 0.752 0.504 0.259
S4 0.248 0.496 0.741
S5 0.752 0.006 0.258
S6 0.248 0.994 0.742
S7 0.254 0.006 0.258
S8 0.746 0.994 0.742

=====

5.
# TmAg2SnS4 (GGA-PBE, optimized geometry)
# Size of the total moment   0.000 μB per formula unit
# Fermi-level density of states   0.164 states/eV per atom
# ΔE_f (raw)   -0.7596 eV/atom
data_TmAg2SnS4
_chemical_formula_sum 'Tm1 Ag2 Sn1 S4'
_cell_length_a 3.931
_cell_length_b 6.625
_cell_length_c 6.871
_cell_angle_alpha 69.89
_cell_angle_beta 90.00
_cell_angle_gamma 90.00
_symmetry_space_group_name_H-M 'P 1'
_symmetry_Int_Tables_number 1
loop_
_symmetry_equiv_pos_as_xyz
'x,y,z'
loop_
_atom_site_label
_atom_site_fract_x
_atom_site_fract_y
_atom_site_fract_z
Tm1 0.000 0.500 0.500
Ag1 0.000 0.000 0.000
Ag2 0.500 0.000 0.500
Sn1 0.500 0.500 0.000
S1 0.000 0.748 0.747
S2 0.000 0.252 0.253
S3 0.500 0.739 0.255
S4 0.500 0.261 0.745

=====

6.
# Y3Ag3SnS8 (GGA-PBE, optimized geometry)
# Size of the total moment   0.000 μB per formula unit
# Fermi-level density of states   0.047 states/eV per atom
# ΔE_f (raw)   -1.0884 eV/atom
data_Y3Ag3SnS8
_chemical_formula_sum 'Y3 Ag3 Sn1 S8'
_cell_length_a 7.929
_cell_length_b 7.925
_cell_length_c 7.814
_cell_angle_alpha 120.66
_cell_angle_beta 90.00
_cell_angle_gamma 120.02
_symmetry_space_group_name_H-M 'P 1'
_symmetry_Int_Tables_number 1
loop_
_symmetry_equiv_pos_as_xyz
'x,y,z'
loop_
_atom_site_label
_atom_site_fract_x
_atom_site_fract_y
_atom_site_fract_z
Y1 0.500 0.000 0.500
Y2 0.500 0.500 0.500
Y3 0.000 0.500 0.500
Ag1 0.000 0.000 0.000
Ag2 0.000 0.500 0.000
Ag3 0.500 0.500 0.000
Sn1 0.000 0.000 0.500
S1 0.255 0.510 0.267
S2 0.745 0.490 0.733
S3 0.765 0.530 0.266
S4 0.235 0.470 0.734
S5 0.765 0.000 0.266
S6 0.235 0.000 0.734
S7 0.235 0.000 0.266
S8 0.765 0.000 0.734

=====

7.
# Y2Ag3SnS6 (GGA-PBE, optimized geometry)
# Size of the total moment   0.000 μB per formula unit
# Fermi-level density of states   0.097 states/eV per atom
# ΔE_f (raw)   -0.9270 eV/atom
data_Y2Ag3SnS6
_chemical_formula_sum 'Y2 Ag3 Sn1 S6'
_cell_length_a 3.936
_cell_length_b 7.519
_cell_length_c 9.204
_cell_angle_alpha 100.41
_cell_angle_beta 102.35
_cell_angle_gamma 90.00
_symmetry_space_group_name_H-M 'P 1'
_symmetry_Int_Tables_number 1
loop_
_symmetry_equiv_pos_as_xyz
'x,y,z'
loop_
_atom_site_label
_atom_site_fract_x
_atom_site_fract_y
_atom_site_fract_z
Y1 0.834 0.665 0.667
Y2 0.166 0.335 0.333
Ag1 0.500 0.500 0.000
Ag2 0.811 0.157 0.623
Ag3 0.189 0.843 0.377
Sn1 0.500 0.000 0.000
S1 0.344 0.924 0.687
S2 0.676 0.591 0.353
S3 0.656 0.076 0.313
S4 0.008 0.263 0.016
S5 0.992 0.737 0.984
S6 0.324 0.409 0.647

=====

8.
# YAgSnS4 (GGA-PBE, optimized geometry)
# Size of the total moment   0.000 μB per formula unit
# Fermi-level density of states   0.075 states/eV per atom
# ΔE_f (raw)   -0.9063 eV/atom
data_YAgSnS4
_chemical_formula_sum 'Y2 Ag2 Sn2 S8'
_cell_length_a 7.766
_cell_length_b 7.849
_cell_length_c 7.849
_cell_angle_alpha 60.77
_cell_angle_beta 60.35
_cell_angle_gamma 60.35
_symmetry_space_group_name_H-M 'P 1'
_symmetry_Int_Tables_number 1
loop_
_symmetry_equiv_pos_as_xyz
'x,y,z'
loop_
_atom_site_label
_atom_site_fract_x
_atom_site_fract_y
_atom_site_fract_z
Y1 0.000 0.000 0.000
Y2 0.000 0.500 0.500
Ag1 0.622 0.628 0.128
Ag2 0.378 0.372 0.872
Sn1 0.500 0.000 0.500
Sn2 0.000 0.000 0.500
S1 0.750 0.774 0.726
S2 0.250 0.774 0.726
S3 0.750 0.226 0.274
S4 0.250 0.226 0.274
S5 0.223 0.767 0.267
S6 0.744 0.767 0.267
S7 0.256 0.233 0.733
S8 0.777 0.233 0.733

=====

9.
# Zn2AgSnS4 (GGA-PBE, optimized geometry)
# Size of the total moment   0.001 μB per formula unit
# Fermi-level density of states   0.608 states/eV per atom
# ΔE_f (raw)   -0.4493 eV/atom
data_Zn2AgSnS4
_chemical_formula_sum 'Zn2 Ag1 Sn1 S4'
_cell_length_a 5.645
_cell_length_b 5.645
_cell_length_c 7.100
_cell_angle_alpha 113.42
_cell_angle_beta 113.42
_cell_angle_gamma 90.00
_symmetry_space_group_name_H-M 'P 1'
_symmetry_Int_Tables_number 1
loop_
_symmetry_equiv_pos_as_xyz
'x,y,z'
loop_
_atom_site_label
_atom_site_fract_x
_atom_site_fract_y
_atom_site_fract_z
Zn1 0.750 0.250 0.500
Zn2 0.250 0.750 0.500
Ag1 0.000 0.000 0.000
Sn1 0.500 0.500 0.000
S1 0.616 0.616 0.722
S2 0.384 0.895 0.278
S3 0.895 0.384 0.278
S4 0.106 0.106 0.722

=====

10.
# SrAg3S (GGA-PBE, optimized geometry)
# Size of the total moment   0.000 μB per formula unit
# Polymorph energy (0 for the lowest one)   1157 meV per atom
# Fermi-level density of states   1.508 states/eV per atom
# ΔE_f (raw)   1.2203 eV/atom
data_SrAg3S
_chemical_formula_sum 'Sr1 Ag3 S1'
_cell_length_a 5.668
_cell_length_b 5.668
_cell_length_c 5.668
_cell_angle_alpha 90.00
_cell_angle_beta 90.00
_cell_angle_gamma 90.00
_symmetry_space_group_name_H-M 'P 1'
_symmetry_Int_Tables_number 1
loop_
_symmetry_equiv_pos_as_xyz
'x,y,z'
loop_
_atom_site_label
_atom_site_fract_x
_atom_site_fract_y
_atom_site_fract_z
Sr1 0.000 0.000 0.000
S1 0.500 0.500 0.500
Ag1 0.000 0.500 0.000
Ag2 0.000 0.000 0.500
Ag3 0.500 0.000 0.000